#i
DFT (PBE) results for PmEu3 after structural relaxation.

Calculated values
**Size of the total moment**: 21.5 μB/f.u.
**Symmetry**: No. 225

Cell: 8.5818 8.5818 8.5818 Å, 90.00 90.00 90.00°
With the nearest neighbours (Å) after each atom.
Fractional coordinates of all 16 atoms:
Pm (0.0000, 0.0000, 0.0000)  8 Eu 3.72
Pm (0.0000, 0.5000, 0.5000)  8 Eu 3.72
Pm (0.5000, 0.0000, 0.5000)  8 Eu 3.72
Pm (0.5000, 0.5000, 0.0000)  8 Eu 3.72
Eu (0.0000, 0.0000, 0.5000)  8 Eu 3.72
Eu (0.0000, 0.5000, 0.0000)  8 Eu 3.72
Eu (0.2500, 0.2500, 0.2500)  4 Eu 3.72, 4 Pm 3.72
Eu (0.2500, 0.2500, 0.7500)  4 Pm 3.72, 4 Eu 3.72
Eu (0.2500, 0.7500, 0.2500)  4 Pm 3.72, 4 Eu 3.72
Eu (0.2500, 0.7500, 0.7500)  4 Eu 3.72, 4 Pm 3.72
Eu (0.5000, 0.0000, 0.0000)  8 Eu 3.72
Eu (0.5000, 0.5000, 0.5000)  8 Eu 3.72
Eu (0.7500, 0.2500, 0.2500)  4 Pm 3.72, 4 Eu 3.72
Eu (0.7500, 0.2500, 0.7500)  4 Eu 3.72, 4 Pm 3.72
Eu (0.7500, 0.7500, 0.2500)  4 Eu 3.72, 4 Pm 3.72
Eu (0.7500, 0.7500, 0.7500)  4 Pm 3.72, 4 Eu 3.72

#ii
DFT (PBE) results for PmEu3 after structural relaxation.

Calculated values
**Size of the total moment**: 21.5 μB/f.u.
**Symmetry**: No. 44

Cell: 4.1869 12.2627 6.1329 Å, 90.00 90.00 90.00°
With the nearest neighbours (Å) after each atom.
Fractional coordinates of all 8 atoms:
Pm (0.0000, 0.0000, 0.0000)  8 Eu 3.69-3.71
Pm (0.5000, 0.5000, 0.5000)  8 Eu 3.69-3.71
Eu (0.0000, 0.2524, 0.4984)  2 Pm 3.69, 6 Eu 3.71-3.74
Eu (0.0000, 0.5000, 0.9999)  4 Pm 3.71, 4 Eu 3.74
Eu (0.0000, 0.7476, 0.4984)  2 Pm 3.69, 6 Eu 3.71-3.74
Eu (0.5000, 0.0000, 0.4999)  4 Pm 3.71, 4 Eu 3.74
Eu (0.5000, 0.2476, 0.9984)  2 Pm 3.69, 6 Eu 3.71-3.74
Eu (0.5000, 0.7524, 0.9984)  2 Pm 3.69, 6 Eu 3.71-3.74

Preferred: #ii; penalty for the next structure: 10 meV/atom.

#i
DFT (PBE) results for Pm3Eu after structural relaxation.

Calculated values
**Size of the total moment**: 7.1 μB/f.u.
**Symmetry**: No. 221

Cell: 5.2152 5.2152 5.2152 Å, 90.00 90.00 90.00°
With the nearest neighbours (Å) after each atom.
Fractional coordinates of all 4 atoms:
Pm (0.0000, 0.0000, 0.5000)  4 Eu 3.69, 8 Pm 3.69
Pm (0.0000, 0.5000, 0.0000)  4 Eu 3.69, 8 Pm 3.69
Pm (0.5000, 0.0000, 0.0000)  4 Eu 3.69, 8 Pm 3.69
Eu (0.5000, 0.5000, 0.5000)  12 Pm 3.69

#ii
DFT (PBE) results for Pm3Eu after structural relaxation.

Calculated values
**Size of the total moment**: 8.4 μB/f.u.
**Symmetry**: No. 225

Cell: 8.2994 8.2994 8.2994 Å, 90.00 90.00 90.00°
With the nearest neighbours (Å) after each atom.
Fractional coordinates of all 16 atoms:
Pm (0.0000, 0.0000, 0.0000)  8 Pm 3.59
Pm (0.0000, 0.5000, 0.5000)  8 Pm 3.59
Pm (0.2500, 0.2500, 0.2500)  4 Eu 3.59, 4 Pm 3.59
Pm (0.2500, 0.2500, 0.7500)  4 Pm 3.59, 4 Eu 3.59
Pm (0.2500, 0.7500, 0.2500)  4 Pm 3.59, 4 Eu 3.59
Pm (0.2500, 0.7500, 0.7500)  4 Pm 3.59, 4 Eu 3.59
Pm (0.5000, 0.0000, 0.5000)  8 Pm 3.59
Pm (0.5000, 0.5000, 0.0000)  8 Pm 3.59
Pm (0.7500, 0.2500, 0.2500)  4 Pm 3.59, 4 Eu 3.59
Pm (0.7500, 0.2500, 0.7500)  4 Pm 3.59, 4 Eu 3.59
Pm (0.7500, 0.7500, 0.2500)  4 Pm 3.59, 4 Eu 3.59
Pm (0.7500, 0.7500, 0.7500)  4 Pm 3.59, 4 Eu 3.59
Eu (0.0000, 0.0000, 0.5000)  8 Pm 3.59
Eu (0.0000, 0.5000, 0.0000)  8 Pm 3.59
Eu (0.5000, 0.0000, 0.0000)  8 Pm 3.59
Eu (0.5000, 0.5000, 0.5000)  8 Pm 3.59

Preferred: #i; penalty for the next structure: 78 meV/atom.